{
  "formula": "Rb3Ce3TlS8",
  "functional": "PBE",
  "state": "optimized geometry",
  "crystal_system": "trigonal",
  "spacegroup": "R-3m (166)",
  "n_ef_per_ev_fu": 12.5,
  "final_energy_ev_per_cell": -78.3,
  "m_tot_mub_per_cell": 0.880,
  "e_form_raw_ev_per_atom": -1.479,
  "lattice": [[-4.0968, -7.0264, 2.0790], [7.8143, 1.2859, 2.7912], [-6.6270, 4.9412, 3.6436]],
  "species": ["Rb", "Rb", "Rb", "Ce", "Ce", "Ce", "Tl", "S", "S", "S", "S", "S", "S", "S", "S"],
  "fractional_positions": [[0.0000, 0.0000, 0.0000], [0.0000, 0.5000, 0.0000], [0.5000, 0.5000, 0.0000], [0.5000, 0.0000, 0.5000], [0.5000, 0.5000, 0.5000], [0.0000, 0.5000, 0.5000], [0.0000, 0.0000, 0.5000], [0.2686, 0.5371, 0.3058], [0.7314, 0.4629, 0.6942], [0.7565, 0.5131, 0.3095], [0.2435, 0.4869, 0.6905], [0.7566, 0.0529, 0.3096], [0.2434, 0.9471, 0.6904], [0.2963, 0.0529, 0.3096], [0.7037, 0.9471, 0.6904]]
}